A plane-wave DFT calculation with PBE was carried out for ZrPb2Cl after structural relaxation.

Cell: 3.3320 5.4843 5.6663 Å, 90.00 90.00 90.00°
With the nearest neighbours (Å) after each atom.
Fractional coordinates of all 4 atoms:
Zr 0.0000 0.0000 0.0000  4 Pb 3.21, 4 Cl 3.29, 2 Zr 3.33
Pb 0.0000 0.5000 0.5000  4 Cl 3.21, 6 Pb 3.29-3.33
Pb 0.5000 0.5000 0.0000  4 Zr 3.21, 6 Pb 3.29-3.33
Cl 0.5000 0.0000 0.5000  4 Pb 3.21, 4 Zr 3.29, 2 Cl 3.33

* theoretical density: 8.7 g/cm³
* relative energy among the computed polymorphs: 427 meV/atom
* formation energy without anion corrections: -0.036 eV/atom

***

A plane-wave DFT calculation with PBE was carried out for Zr4PbCl after structural relaxation.

Cell: 5.8959 5.8959 5.8959 Å, 60.00 60.00 60.00°
With the nearest neighbours (Å) after each atom.
Fractional coordinates of all 6 atoms:
Zr 0.3770 0.3770 0.3770  6 Zr 2.90-3.00
Zr 0.3770 0.3770 0.8689  6 Zr 2.90-3.00
Zr 0.3770 0.8689 0.3770  6 Zr 2.90-3.00
Zr 0.8689 0.3770 0.3770  6 Zr 2.90-3.00
Pb 0.7500 0.7500 0.7500  12 Zr 3.45, 4 Cl 3.61
Cl 0.0000 0.0000 0.0000  12 Zr 3.46, 4 Pb 3.61

* theoretical density: 7.0 g/cm³
* formation energy without anion corrections: 0.260 eV/atom

***

A plane-wave DFT calculation with PBE was carried out for ZrPbCl after structural relaxation.

Cell: 7.9772 7.9772 7.9772 Å, 156.62 156.62 33.30°
With the nearest neighbours (Å) after each atom.
Fractional coordinates of all 3 atoms:
Zr 0.0000 0.0000 0.0000  4 Cl 2.73
Pb 0.6587 0.6587 0.0000  4 Pb 3.23, 4 Zr 3.33
Cl 0.4020 0.4020 0.0000  4 Zr 2.73

* theoretical density: 6.9 g/cm³
* relative energy among the computed polymorphs: 114 meV/atom
* formation energy without anion corrections: -0.637 eV/atom

***

A plane-wave DFT calculation with PBE was carried out for ZrPb2Cl after structural relaxation.

Cell: 7.8513 7.8513 7.8513 Å, 156.13 146.08 41.91°
With the nearest neighbours (Å) after each atom.
Fractional coordinates of all 4 atoms:
Zr 0.0000 0.0000 0.0000  4 Cl 2.81
Pb 0.1911 0.6911 0.5000  2 Zr 3.24, 6 Pb 3.25-3.30, 2 Cl 3.62
Pb 0.8089 0.3089 0.5000  2 Zr 3.24, 6 Pb 3.25-3.30, 2 Cl 3.62
Cl 0.5000 0.5000 0.0000  4 Zr 2.81

* theoretical density: 8.2 g/cm³
* relative energy among the computed polymorphs: 211 meV/atom
* formation energy without anion corrections: -0.252 eV/atom

***

A plane-wave DFT calculation with PBE was carried out for Zr3PbCl after structural relaxation.

Cell: 4.8452 4.8452 4.8452 Å, 90.00 90.00 90.00°
With the nearest neighbours (Å) after each atom.
Fractional coordinates of all 5 atoms:
Zr 0.0000 0.0000 0.5000  2 Cl 2.42
Zr 0.0000 0.5000 0.0000  2 Cl 2.42
Zr 0.5000 0.0000 0.0000  2 Cl 2.42
Pb 0.5000 0.5000 0.5000  12 Zr 3.43
Cl 0.0000 0.0000 0.0000  6 Zr 2.42

* theoretical density: 7.5 g/cm³
* relative energy among the computed polymorphs: 0 meV/atom
* formation energy without anion corrections: -0.047 eV/atom

***

A plane-wave DFT calculation with PBE was carried out for ZrPbCl4 after structural relaxation.

Cell: 5.8806 5.8806 5.8806 Å, 60.00 60.00 60.00°
With the nearest neighbours (Å) after each atom.
Fractional coordinates of all 6 atoms:
Zr 0.0000 0.0000 0.0000  12 Cl 3.45, 4 Pb 3.60
Pb 0.7500 0.7500 0.7500  12 Cl 3.45, 4 Zr 3.60
Cl 0.3741 0.3741 0.3741  6 Cl 2.92-2.96
Cl 0.3741 0.3741 0.8777  6 Cl 2.92-2.96
Cl 0.3741 0.8777 0.3741  6 Cl 2.92-2.96
Cl 0.8777 0.3741 0.3741  6 Cl 2.92-2.96

* theoretical density: 5.1 g/cm³
* formation energy without anion corrections: 0.196 eV/atom

***

A plane-wave DFT calculation with PBE was carried out for ZrPbCl2 after structural relaxation.

Cell: 3.3770 4.8885 6.4498 Å, 90.00 105.07 90.00°
With the nearest neighbours (Å) after each atom.
Fractional coordinates of all 4 atoms:
Zr 0.0000 0.0000 0.0000  4 Cl 2.59-2.63
Pb 0.3767 0.5000 0.7521  2 Cl 3.02-3.03, 4 Zr 3.35, 2 Pb 3.38
Cl 0.0768 0.5000 0.1551  2 Zr 2.63
Cl 0.6570 0.0000 0.3160  2 Zr 2.59

* theoretical density: 6.0 g/cm³
* relative energy among the computed polymorphs: 223 meV/atom
* formation energy without anion corrections: -0.835 eV/atom

***

A plane-wave DFT calculation with PBE was carried out for ZrPbCl2 after structural relaxation.

Cell: 9.9193 9.9193 9.9193 Å, 153.57 153.57 37.72°
With the nearest neighbours (Å) after each atom.
Fractional coordinates of all 8 atoms:
Zr 0.0000 0.0000 0.0000  4 Cl 2.78
Zr 0.7500 0.2500 0.5000  4 Cl 2.78
Pb 0.2500 0.7500 0.5000  4 Cl 2.92, 4 Zr 3.21
Pb 0.5000 0.5000 0.0000  4 Cl 2.92, 4 Zr 3.21
Cl 0.0858 0.6250 0.9608  2 Zr 2.78, 2 Pb 2.92, 2 Cl 2.97
Cl 0.3750 0.3358 0.4608  2 Zr 2.78, 2 Pb 2.92, 2 Cl 2.97
Cl 0.6642 0.1250 0.0392  2 Zr 2.78, 2 Pb 2.92, 2 Cl 2.97
Cl 0.8750 0.9142 0.5392  2 Zr 2.78, 2 Pb 2.92, 2 Cl 2.97

* theoretical density: 6.4 g/cm³
* relative energy among the computed polymorphs: 466 meV/atom
* formation energy without anion corrections: -0.593 eV/atom